A plane-wave DFT calculation with PBEsol was carried out for a geometry-optimized LiYTa2 structure.

* DFT formation energy: 460 meV/atom
* DOS at the Fermi energy: 5.87 states/eV per cell
* E above lowest polymorph: 36.3 meV/atom

Lattice parameters (Å, degrees): 9.652 2.914 5.741 90.00 95.32 90.00
Space group Cm (No. 8)
One atom of each set of equivalent atoms:
Li: 0.000 0.000 0.000 (multiplicity 2)
Y: 0.254 0.500 0.233 (multiplicity 2)
Ta: 0.018 0.500 0.572 (multiplicity 2)
Ta: 0.259 0.000 0.711 (multiplicity 2)